A plane-wave DFT calculation with PBE was carried out for a relaxed La3Sm3Mg crystal.

Calculated values
**Calculated formation energy**: 30.8 meV per atom
**Relative energy among the computed polymorphs**: 19 meV/atom

Cell lengths 9.6996, 9.6996, 5.8356 Å; angles 90.00, 90.00, 120.00 degrees
Last column: nearest neighbours and their distance in Å.
Space group P6_3/m (No. 176)
Inequivalent atoms, fractional coordinates:
La 0.0601 0.8119 0.2500 x6  1 Mg 3.57, 5 Sm 3.59-3.75, 6 La 3.64-3.77
Sm 0.1036 0.6219 0.7500 x6  4 Sm 3.54-3.66, 3 Mg 3.56-3.73, 5 La 3.59-3.75
Mg 0.3333 0.6667 0.2500 x2  9 Sm 3.56-3.73, 3 La 3.57

***

A plane-wave DFT calculation with PBE was carried out for a relaxed La2PrYP4 crystal.

Calculated values
**Calculated formation energy**: -1562.2 meV per atom

Cell lengths 7.2604, 4.1963, 7.2629 Å; angles 90.00, 109.45, 90.00 degrees
Last column: nearest neighbours and their distance in Å.
Space group P2/m (No. 10)
Inequivalent atoms, fractional coordinates:
La 0.0000 0.0000 0.0000 x1  6 P 3.02
La 0.5000 0.5000 0.0000 x1  6 P 2.97-2.98
Pr 0.0000 0.5000 0.5000 x1  6 P 2.96
Y 0.5000 0.0000 0.5000 x1  6 P 2.91-2.92
P 0.2530 0.0000 0.7440 x2  1 Y 2.91, 2 Pr 2.96, 3 La 2.98-3.02
P 0.2578 0.5000 0.2592 x2  2 Y 2.92, 1 Pr 2.96, 3 La 2.97-3.02

***

A plane-wave DFT calculation with PBE was carried out for a relaxed K2Ce3Se6 crystal.

Calculated values
**Energy relative to the elements, uncorrected**: -1.70 eV per atom

Cell lengths 7.4894, 12.9701, 8.1455 Å; angles 90.00, 107.82, 90.00 degrees
Last column: nearest neighbours and their distance in Å.
Space group C2/m (No. 12)
Inequivalent atoms, fractional coordinates:
K 0.0000 0.1669 0.0000 x4  6 Se 3.40
Ce 0.0000 0.0000 0.5000 x2  6 Se 2.93-2.95
Ce 0.0000 0.3341 0.5000 x4  6 Se 2.94-2.95
Se 0.2324 0.1679 0.7012 x8  3 Ce 2.94-2.95
Se 0.2363 0.5000 0.7019 x4  3 Ce 2.93-2.95